Entry 1:
First-principles (PBE-GGA) data for a geometry-optimized Pa5Co2Te2 structure, as listed in the Alexandria database.

The energy relative to the elements, uncorrected is -0.37 eV per atom.

The structure belongs to space group Cmce (No. 64); the cell edges are 15.628, 8.076 and 6.774 Å and the angles 90.00°, 90.00° and 90.00°. Symmetry generates all atoms from Pa at (0.000, 0.000, 0.000), Pa at (0.117, 0.175, 0.357), Co at (0.000, 0.100, 0.664) and Te at (0.210, 0.000, 0.000).

=====

Entry 2:
First-principles (PBE-GGA) data for a geometry-optimized Cs3Ho2MgTe6 structure, as listed in the Alexandria database.

The energy relative to the elements, uncorrected is -1.14 eV per atom.

The structure belongs to space group C2/m (No. 12); the cell edges are 7.756, 13.443 and 9.354 Å and the angles 90.00°, 106.09° and 90.00°. Symmetry generates all atoms from Cs at (0.000, 0.000, 0.000), Cs at (0.000, 0.332, 0.000), Ho at (0.000, 0.166, 0.500), Mg at (0.000, 0.500, 0.500), Te at (0.227, 0.335, 0.686) and Te at (0.233, 0.000, 0.687).

=====

Entry 3:
First-principles (PBE-GGA) data for a geometry-optimized Tb2YEr2Mg5 structure, as listed in the Alexandria database.

As for the formation energy: 0.06 eV/atom.

The structure belongs to space group P4/mbm (No. 127); the cell edges are 10.551, 10.551 and 5.052 Å and the angles 90.00°, 90.00° and 90.00°. Symmetry generates all atoms from Tb at (0.177, 0.323, 0.000), Y at (0.000, 0.000, 0.000), Er at (0.119, 0.619, 0.000), Mg at (0.000, 0.500, 0.500) and Mg at (0.074, 0.803, 0.500).

=====

Entry 4:
First-principles (PBE-GGA) data for a geometry-optimized Ag2Pd7 structure, as listed in the Alexandria database.

As for the formation energy: -0.01 eV/atom.

The structure belongs to space group P-31m (No. 162); the cell edges are 4.8738, 4.8738 and 6.9427 Å and the angles 90.00°, 90.00° and 120.00°. Symmetry generates all atoms from Ag at (0.3333, 0.6667, 0.0000), Pd at (0.0000, 0.0000, 0.0000) and Pd at (0.0000, 0.3311, 0.6646).

=====

Entry 5:
First-principles (PBE-GGA) data for a geometry-optimized ScTeCl2 structure, as listed in the Alexandria database.

For the relative energy among the computed polymorphs, the calculation gives 0.807 eV/atom. The energy relative to the elements, uncorrected is -0.70 eV per atom.

The structure belongs to space group F-43m (No. 216); the cell edges are 7.144, 7.144 and 7.144 Å and the angles 90.00°, 90.00° and 90.00°. Symmetry generates all atoms from Sc at (0.000, 0.000, 0.000), Te at (0.250, 0.250, 0.750), Cl at (0.000, 0.000, 0.500) and Cl at (0.250, 0.250, 0.250).

=====

Entry 6:
First-principles (PBE-GGA) data for a geometry-optimized Na2BIrBr structure, as listed in the Alexandria database.

The energy relative to the elements, uncorrected is 1.24 eV per atom.

The structure belongs to space group P4/mmm (No. 123); the cell edges are 5.650, 5.650 and 4.650 Å and the angles 90.00°, 90.00° and 90.00°. Symmetry generates all atoms from Na at (0.000, 0.500, 0.000), B at (0.000, 0.000, 0.500), Ir at (0.500, 0.500, 0.000) and Br at (0.500, 0.500, 0.500).

=====

Entry 7:
First-principles (PBE-GGA) data for a geometry-optimized Sc2SbTe structure, as listed in the Alexandria database.

For the relative energy among the computed polymorphs, the calculation gives 0.123 eV/atom. The energy relative to the elements, uncorrected is -0.93 eV per atom.

The structure belongs to space group Imm2 (No. 44); the cell edges are 3.859, 3.921 and 13.655 Å and the angles 90.00°, 90.00° and 90.00°. Symmetry generates all atoms from Sc at (0.000, 0.000, 0.000), Sc at (0.000, 0.500, 0.261), Sb at (0.000, 0.000, 0.419) and Te at (0.000, 0.500, 0.669).

=====

Entry 8:
First-principles (PBE-GGA) data for a geometry-optimized ReTcGe2Os structure, as listed in the Alexandria database.

As for the formation energy: 1.60 eV/atom.

The structure belongs to space group P4/mmm (No. 123); the cell edges are 4.691, 4.691 and 4.857 Å and the angles 90.00°, 90.00° and 90.00°. Symmetry generates all atoms from Re at (0.000, 0.000, 0.000), Tc at (0.500, 0.500, 0.500), Ge at (0.000, 0.500, 0.000) and Os at (0.000, 0.000, 0.500).

=====

Result set for DOS at the Fermi energy: 1.952 0.683 0.742 1.516 1.246 1.150 0.681 0.841 states/eV per atom, one per record in the order listed.
Result set for electronic total energy: -7.9186 -3.8210 -3.2231 -4.6789 -3.9938 -2.7296 -5.9157 -7.0602 eV/atom, one per record in the order listed.